1.
LiTl2AgCl | PBE | relaxed

Calculated values
As for the electronic total energy: -11.718 eV/cell. The value obtained for the calculated volume is 27.6 A^3/atom. The value obtained for the theoretical density is 6.72 g/cm³. For the density of states at the Fermi level, the calculation gives 0.458 states/eV/atom. Its formation energy without anion corrections is -0.0747 eV/atom.

Unit cell a=5.454 b=5.454 c=4.642 alpha=90.00 beta=90.00 gamma=90.00
Element x y z (fractional)
Li (0.000, 0.000, 0.000)
Tl (0.000, 0.500, 0.000)
Tl (0.500, 0.000, 0.000)
Ag (0.000, 0.000, 0.500)
Cl (0.500, 0.500, 0.500)

---

2.
LiTlAg2Cl6 | PBE | relaxed

Calculated values
As for the electronic total energy: -28.949 eV/cell. The value obtained for the calculated volume is 24.3 A^3/atom. The value obtained for the theoretical density is 4.38 g/cm³. Its formation energy without anion corrections is -0.7886 eV/atom.

Unit cell a=7.198 b=7.198 c=7.198 alpha=56.53 beta=56.53 gamma=56.53
Element x y z (fractional)
Li (0.000, 0.000, 0.000)
Tl (0.514, 0.514, 0.514)
Ag (0.218, 0.218, 0.218)
Ag (0.724, 0.724, 0.724)
Cl (0.131, 0.400, 0.785)
Cl (0.288, 0.905, 0.627)
Cl (0.400, 0.785, 0.131)
Cl (0.627, 0.288, 0.905)
Cl (0.785, 0.131, 0.400)
Cl (0.905, 0.627, 0.288)

---

3.
LiTlAg2Cl8 | PBE | relaxed

Calculated values
As for the electronic total energy: -30.921 eV/cell. The value obtained for the calculated volume is 26.9 A^3/atom. The value obtained for the theoretical density is 3.66 g/cm³. For the density of states at the Fermi level, the calculation gives 0.849 states/eV/atom. Its formation energy without anion corrections is -0.5138 eV/atom.

Unit cell a=7.491 b=7.491 c=7.491 alpha=111.42 beta=111.42 gamma=105.64
Element x y z (fractional)
Li (0.000, 0.000, 0.000)
Tl (0.250, 0.750, 0.500)
Ag (0.500, 0.500, 0.000)
Ag (0.750, 0.250, 0.500)
Cl (0.291, 0.097, 0.805)
Cl (0.291, 0.486, 0.195)
Cl (0.353, 0.047, 0.307)
Cl (0.514, 0.709, 0.805)
Cl (0.740, 0.047, 0.693)
Cl (0.903, 0.709, 0.195)
Cl (0.953, 0.260, 0.307)
Cl (0.953, 0.647, 0.693)